A relaxed PrSm2Co2 crystal. Source: Alexandria, functional PBE.

```
PrSm2Co2
1.0
4.099 0.000 0.000
0.000 3.838 -1.091
0.000 0.130 7.754
Pr Sm Co
1 2 2
Cartesian
0.000 0.000 0.000
2.050 2.534 1.616
2.050 1.435 5.047
0.000 0.875 3.077
0.000 3.094 3.586
```

- space-group type = Cmmm
- uncorrected energy (eV/atom) = -5.7408
- ΔH_f (0 K) (kJ/mol of atoms) = -5.3
- relative energy among the computed polymorphs (meV/atom) = 0
- density of states at the Fermi level (states/eV/cell) = 6.27

A relaxed GdPuCdPt crystal. Source: Alexandria, functional PBE.

```
GdPuCdPt
1.0
-0.224 -1.041 5.032
-4.436 -1.513 2.118
-0.562 -4.856 1.599
Cd Gd Pt Pu
1 1 1 1
Cartesian
-1.305 -1.853 2.187
-2.611 -3.705 4.374
-3.916 -5.558 6.562
0.000 0.000 0.000
```

- space-group type = F-43m
- uncorrected energy (eV/atom) = -9.3164
- ΔH_f (0 K) (kJ/mol of atoms) = -45.8
- density of states at the Fermi level (states/eV/cell) = 9.12

A relaxed TmPu2Nb crystal. Source: Alexandria, functional PBE.

```
TmPu2Nb
1.0
-2.603 2.267 1.381
-2.654 -2.243 -1.320
0.054 -3.599 6.009
Nb Tm Pu
1 1 2
Cartesian
-2.628 0.012 0.031
-2.601 -1.788 3.035
0.042 -2.815 4.700
0.012 -0.784 1.309
```

- space-group type = P4/mmm
- uncorrected energy (eV/atom) = -10.4737
- ΔH_f (0 K) (kJ/mol of atoms) = 31.6
- relative energy among the computed polymorphs (meV/atom) = 33
- density of states at the Fermi level (states/eV/cell) = 11.59

A relaxed Ce2ClF7 crystal. Source: Alexandria, functional PBE.

```
Ce2ClF7
1.0
4.467 0.000 0.000
0.000 6.204 -1.435
0.000 -0.155 6.365
Ce Cl F
2 1 7
Cartesian
2.233 4.463 0.701
2.233 1.586 4.230
0.000 0.000 0.000
0.000 4.218 1.001
0.000 1.831 3.929
2.233 0.452 2.120
2.233 5.597 2.810
2.233 2.168 0.015
2.233 3.881 4.915
2.233 3.024 2.465
```

- space-group type = Cmmm
- uncorrected energy (eV/atom) = -6.0490
- raw formation energy (eV per atom) = -3.368
- density of states at the Fermi level (states/eV/cell) = 6.67

A relaxed CrP crystal. Source: Alexandria, functional PBE.

```
CrP
1.0
-2.059 1.820 -0.541
-2.403 -3.204 -1.630
-1.521 -0.669 3.556
Cr P
2 2
Cartesian
-2.499 -2.028 -0.934
-3.485 -0.025 2.319
-4.297 -1.457 0.595
-1.687 -0.596 0.790
```

- space-group type = Pmmn
- uncorrected energy (eV/atom) = -7.7375
- ΔH_f (0 K) (kJ/mol of atoms) = -21.3
- density of states at the Fermi level (states/eV/cell) = 5.16

A relaxed LaZr2Tl2 crystal. Source: Alexandria, functional PBE.

```
LaZr2Tl2
1.0
8.637 0.000 0.000
0.000 8.637 0.000
0.000 0.000 3.501
Tl Zr La
4 4 2
Cartesian
3.204 7.522 0.000
7.522 5.434 0.000
5.434 1.115 0.000
1.115 3.204 0.000
1.467 5.785 1.751
5.785 7.170 1.751
7.170 2.852 1.751
2.852 1.467 1.751
0.000 0.000 0.000
4.319 4.319 0.000
```

- space-group type = P4/mbm
- uncorrected energy (eV/atom) = -5.3853
- ΔH_f (0 K) (kJ/mol of atoms) = -3.3
- relative energy among the computed polymorphs (meV/atom) = 56
- density of states at the Fermi level (states/eV/cell) = 9.60

A relaxed Pm2Al3ZnAu4 crystal. Source: Alexandria, functional PBE.

```
Pm2Al3ZnAu4
1.0
-2.648 1.299 -3.289
-0.188 -4.155 -1.489
-8.364 -1.782 6.031
Pm Al Zn Au
2 3 1 4
Cartesian
-3.429 0.201 -0.127
-6.353 -3.411 3.768
-4.182 -0.891 3.015
-8.601 -0.901 3.602
-1.182 -2.309 0.040
-5.600 -2.319 0.626
-1.418 -1.428 -2.389
0.000 0.000 0.000
-6.619 -0.479 2.173
-3.163 -2.732 1.468
```

- space-group type = P-4m2
- uncorrected energy (eV/atom) = -4.1957
- ΔH_f (0 K) (kJ/mol of atoms) = -66.0
- density of states at the Fermi level (states/eV/cell) = 5.67

A relaxed Cs2SmTe2S6 crystal. Source: Alexandria, functional PBE.

```
Cs2SmTe2S6
1.0
7.614 0.000 0.000
-3.807 5.862 -0.036
0.000 -3.310 8.616
Cs Sm Te S
2 1 2 6
Cartesian
3.807 1.872 1.117
0.000 0.680 7.463
3.807 -1.655 4.308
3.807 2.423 6.474
0.000 0.129 2.106
3.807 1.167 4.493
-1.717 4.641 2.066
2.091 -2.089 6.514
5.524 -2.089 6.514
1.717 4.641 2.066
0.000 1.385 4.087
```

- space-group type = C2/m
- uncorrected energy (eV/atom) = -4.1471
- raw formation energy (eV per atom) = -0.740
- density of states at the Fermi level (states/eV/cell) = 2.94

> Which of these has the lowest density of states at the Fermi level?

Cs2SmTe2S6

> Among the records above, which one has the lowest uncorrected energy?

TmPu2Nb